# TcAuBr2, optimized geometry, DFT GGA-PBE
data_TcAuBr2
_chemical_formula_sum 'Tc2 Au2 Br4'
_cell_length_a 3.031
_cell_length_b 5.677
_cell_length_c 10.835
_cell_angle_alpha 90.00
_cell_angle_beta 90.00
_cell_angle_gamma 90.00
_symmetry_space_group_name_H-M 'C m m m'
_symmetry_Int_Tables_number 65
_symmetry_space_group_name_Hall '-C 2 2'
loop_
_atom_site_label
_atom_site_type_symbol
_atom_site_fract_x
_atom_site_fract_y
_atom_site_fract_z
Tc1 Tc 0.000 0.000 0.000
Au1 Au 0.000 0.000 0.500
Br1 Br 0.000 0.500 0.186
# E above lowest polymorph = 0.320 eV per atom
# Total moment = 0.01 μB/f.u.


# TcAuBr2, optimized geometry, DFT GGA-PBE
data_TcAuBr2
_chemical_formula_sum 'Tc4 Au4 Br8'
_cell_length_a 6.755
_cell_length_b 6.755
_cell_length_c 6.755
_cell_angle_alpha 90.00
_cell_angle_beta 90.00
_cell_angle_gamma 90.00
_symmetry_space_group_name_H-M 'F m -3 m'
_symmetry_Int_Tables_number 225
_symmetry_space_group_name_Hall '-F 4 2 3'
loop_
_atom_site_label
_atom_site_type_symbol
_atom_site_fract_x
_atom_site_fract_y
_atom_site_fract_z
Tc1 Tc 0.000 0.000 0.000
Au1 Au 0.000 0.000 0.500
Br1 Br 0.250 0.250 0.250
# E above lowest polymorph = 0.725 eV per atom
# Total moment = 0.00 μB/f.u.


# Tc2Au2Br, optimized geometry, DFT GGA-PBE
data_Tc2Au2Br
_chemical_formula_sum 'Tc4 Au4 Br2'
_cell_length_a 6.623
_cell_length_b 6.623
_cell_length_c 4.165
_cell_angle_alpha 90.00
_cell_angle_beta 90.00
_cell_angle_gamma 90.00
_symmetry_space_group_name_H-M 'P 4/m b m'
_symmetry_Int_Tables_number 127
_symmetry_space_group_name_Hall '-P 4 2ab'
loop_
_atom_site_label
_atom_site_type_symbol
_atom_site_fract_x
_atom_site_fract_y
_atom_site_fract_z
Tc1 Tc 0.126 0.374 0.000
Au1 Au 0.170 0.670 0.500
Br1 Br 0.000 0.000 0.000
# E above lowest polymorph = 0.000 eV per atom
# Total moment = 0.00 μB/f.u.


# TcAuBr2, optimized geometry, DFT GGA-PBE
data_TcAuBr2
_chemical_formula_sum 'Tc2 Au2 Br4'
_cell_length_a 6.972
_cell_length_b 6.993
_cell_length_c 3.664
_cell_angle_alpha 90.00
_cell_angle_beta 90.00
_cell_angle_gamma 90.00
_symmetry_space_group_name_H-M 'C m m m'
_symmetry_Int_Tables_number 65
_symmetry_space_group_name_Hall '-C 2 2'
loop_
_atom_site_label
_atom_site_type_symbol
_atom_site_fract_x
_atom_site_fract_y
_atom_site_fract_z
Tc1 Tc 0.000 0.000 0.000
Au1 Au 0.000 0.500 0.000
Br1 Br 0.250 0.250 0.500
# E above lowest polymorph = 0.640 eV per atom
# Total moment = 4.20 μB/f.u.


# TcAuBr2, optimized geometry, DFT GGA-PBE
data_TcAuBr2
_chemical_formula_sum 'Tc1 Au1 Br2'
_cell_length_a 3.096
_cell_length_b 3.096
_cell_length_c 9.419
_cell_angle_alpha 90.00
_cell_angle_beta 90.00
_cell_angle_gamma 90.00
_symmetry_space_group_name_H-M 'P 4/m m m'
_symmetry_Int_Tables_number 123
_symmetry_space_group_name_Hall '-P 4 2'
loop_
_atom_site_label
_atom_site_type_symbol
_atom_site_fract_x
_atom_site_fract_y
_atom_site_fract_z
Tc1 Tc 0.000 0.000 0.000
Au1 Au 0.000 0.000 0.500
Br1 Br 0.500 0.500 0.168
# E above lowest polymorph = 0.434 eV per atom
# Total moment = 0.00 μB/f.u.


# TcAuBr2, optimized geometry, DFT GGA-PBE
data_TcAuBr2
_chemical_formula_sum 'Tc2 Au2 Br4'
_cell_length_a 9.863
_cell_length_b 3.332
_cell_length_c 7.422
_cell_angle_alpha 90.00
_cell_angle_beta 111.19
_cell_angle_gamma 90.00
_symmetry_space_group_name_H-M 'C 1 m 1'
_symmetry_Int_Tables_number 8
_symmetry_space_group_name_Hall 'C -2y'
loop_
_atom_site_label
_atom_site_type_symbol
_atom_site_fract_x
_atom_site_fract_y
_atom_site_fract_z
Tc1 Tc 0.000 0.000 0.000
Au1 Au 0.273 0.000 0.000
Br1 Br 0.111 0.500 0.278
Br2 Br 0.460 0.000 0.722
# E above lowest polymorph = 0.006 eV per atom
# Total moment = 2.02 μB/f.u.


# TcAuBr2, optimized geometry, DFT GGA-PBE
data_TcAuBr2
_chemical_formula_sum 'Tc3 Au3 Br6'
_cell_length_a 3.2115
_cell_length_b 3.2115
_cell_length_c 30.6626
_cell_angle_alpha 90.00
_cell_angle_beta 90.00
_cell_angle_gamma 120.00
_symmetry_space_group_name_H-M 'R -3 m'
_symmetry_Int_Tables_number 166
_symmetry_space_group_name_Hall '-R 3 2"'
loop_
_atom_site_label
_atom_site_type_symbol
_atom_site_fract_x
_atom_site_fract_y
_atom_site_fract_z
Tc1 Tc 0.0000 0.0000 0.0000
Au1 Au 0.0000 0.0000 0.5000
Br1 Br 0.0000 0.0000 0.2744
# E above lowest polymorph = 0.192 eV per atom
# Total moment = 0.70 μB/f.u.


# TcAuBr2, optimized geometry, DFT GGA-PBE
data_TcAuBr2
_chemical_formula_sum 'Tc2 Au2 Br4'
_cell_length_a 3.640
_cell_length_b 7.596
_cell_length_c 9.114
_cell_angle_alpha 90.00
_cell_angle_beta 90.00
_cell_angle_gamma 90.00
_symmetry_space_group_name_H-M 'I m m 2'
_symmetry_Int_Tables_number 44
_symmetry_space_group_name_Hall 'I 2 -2'
loop_
_atom_site_label
_atom_site_type_symbol
_atom_site_fract_x
_atom_site_fract_y
_atom_site_fract_z
Tc1 Tc 0.000 0.000 0.000
Au1 Au 0.000 0.500 0.706
Br1 Br 0.000 0.000 0.422
Br2 Br 0.000 0.500 0.297
# E above lowest polymorph = 0.201 eV per atom
# Total moment = 4.01 μB/f.u.


# TcAuBr2, optimized geometry, DFT GGA-PBE
data_TcAuBr2
_chemical_formula_sum 'Tc1 Au1 Br2'
_cell_length_a 3.485
_cell_length_b 4.314
_cell_length_c 6.246
_cell_angle_alpha 90.00
_cell_angle_beta 90.00
_cell_angle_gamma 90.00
_symmetry_space_group_name_H-M 'P m m m'
_symmetry_Int_Tables_number 47
_symmetry_space_group_name_Hall '-P 2 2'
loop_
_atom_site_label
_atom_site_type_symbol
_atom_site_fract_x
_atom_site_fract_y
_atom_site_fract_z
Tc1 Tc 0.000 0.000 0.000
Au1 Au 0.500 0.000 0.500
Br1 Br 0.000 0.500 0.500
Br2 Br 0.500 0.500 0.000
# E above lowest polymorph = 0.549 eV per atom
# Total moment = 3.86 μB/f.u.


# Tc2Au2Br, optimized geometry, DFT GGA-PBE
data_Tc2Au2Br
_chemical_formula_sum 'Tc4 Au4 Br2'
_cell_length_a 3.968
_cell_length_b 3.968
_cell_length_c 12.414
_cell_angle_alpha 90.00
_cell_angle_beta 90.00
_cell_angle_gamma 90.00
_symmetry_space_group_name_H-M 'I 4/m m m'
_symmetry_Int_Tables_number 139
_symmetry_space_group_name_Hall '-I 4 2'
loop_
_atom_site_label
_atom_site_type_symbol
_atom_site_fract_x
_atom_site_fract_y
_atom_site_fract_z
Tc1 Tc 0.000 0.000 0.088
Au1 Au 0.000 0.500 0.250
Br1 Br 0.000 0.000 0.500
# E above lowest polymorph = 0.129 eV per atom
# Total moment = 1.01 μB/f.u.